VASP calculation (PBE) on a relaxed TiTePdO6 crystal.

Calculated values
Energy relative to the elements, uncorrected (eV per atom): -1.375
Space-group type: No. 163
Density (g/cm³): 5.7
DOS(E_F) (states/eV per atom): 0.014

The structure in extended XYZ format:
```
18
Lattice="5.213 0.000 0.000 -2.607 4.515 0.000 0.000 0.000 9.305" Properties=species:S:1:pos:R:3 pbc="T T T"
Ti 0.000 3.010 2.326
Ti 2.607 1.505 6.979
Te 0.000 3.010 6.979
Te 2.607 1.505 2.326
Pd 0.000 0.000 0.000
Pd 0.000 0.000 4.653
O -0.935 1.653 5.919
O -1.643 2.879 8.039
O 0.935 1.653 8.039
O -0.708 4.498 5.919
O 1.899 0.016 1.267
O 0.964 1.636 3.386
O 1.643 2.879 5.919
O 0.708 4.498 8.039
O 3.314 0.016 3.386
O 1.671 2.862 1.267
O 4.250 1.636 1.267
O 3.542 2.862 3.386
```